Below is a relaxed CaSm2Y crystal, with properties calculated at the PBE level.

Structure (CIF):
```
data_CaSm2Y
_cell_length_a 24.2994
_cell_length_b 3.5279
_cell_length_c 6.5455
_cell_angle_alpha 90.00
_cell_angle_beta 94.22
_cell_angle_gamma 90.00
_space_group_name_H-M_alt 'C 1 2/m 1'
_space_group_IT_number 12
_space_group_name_Hall '-C 2y'
loop_
_atom_site_label
_atom_site_type_symbol
_atom_site_fract_x
_atom_site_fract_y
_atom_site_fract_z
Ca1 Ca 0.0012 0.0000 0.2487
Sm1 Sm 0.1268 0.5000 0.0306
Sm2 Sm 0.1355 0.0000 0.5431
Y1 Y 0.2483 0.0000 0.2486
```

Properties
**Calculated total energy**: -69.93 eV for the cell shown
**Polymorph energy (0 for the lowest one)**: 61 meV per atom
**Total magnetic moment**: 0.0 μB per cell
**Density of states at the Fermi level**: 1.381 states/eV/atom
**ΔE_f**: 105 meV/atom
**V**: 35.0 A^3/atom

=====

Below is a relaxed Ca2SmY crystal, with properties calculated at the PBE level.

Structure (CIF):
```
data_Ca2SmY
_cell_length_a 8.3273
_cell_length_b 8.3273
_cell_length_c 8.3273
_cell_angle_alpha 90.00
_cell_angle_beta 90.00
_cell_angle_gamma 90.00
_space_group_name_H-M_alt 'F m -3 m'
_space_group_IT_number 225
_space_group_name_Hall '-F 4 2 3'
loop_
_atom_site_label
_atom_site_type_symbol
_atom_site_fract_x
_atom_site_fract_y
_atom_site_fract_z
Ca1 Ca 0.2500 0.2500 0.2500
Sm1 Sm 0.0000 0.0000 0.0000
Y1 Y 0.0000 0.0000 0.5000
```

Properties
**Calculated total energy**: -58.29 eV for the cell shown
**Polymorph energy (0 for the lowest one)**: 42 meV per atom
**Total magnetic moment**: 0.0 μB per cell
**Density of states at the Fermi level**: 1.515 states/eV/atom
**ΔE_f**: 154 meV/atom
**V**: 36.1 A^3/atom

=====

Below is a relaxed CaSm9Y2 crystal, with properties calculated at the PBE level.

Structure (CIF):
```
data_CaSm9Y2
_cell_length_a 5.1389
_cell_length_b 5.1389
_cell_length_c 15.4333
_cell_angle_alpha 90.00
_cell_angle_beta 90.00
_cell_angle_gamma 90.00
_space_group_name_H-M_alt 'P 4/m m m'
_space_group_IT_number 123
_space_group_name_Hall '-P 4 2'
loop_
_atom_site_label
_atom_site_type_symbol
_atom_site_fract_x
_atom_site_fract_y
_atom_site_fract_z
Ca1 Ca 0.0000 0.0000 0.0000
Sm1 Sm 0.0000 0.5000 0.1722
Sm2 Sm 0.0000 0.5000 0.5000
Sm3 Sm 0.5000 0.5000 0.0000
Sm4 Sm 0.5000 0.5000 0.3341
Y1 Y 0.0000 0.0000 0.3342
```

Properties
**Calculated total energy**: -56.92 eV for the cell shown
**Total magnetic moment**: 0.0 μB per cell
**Density of states at the Fermi level**: 1.554 states/eV/atom
**ΔE_f**: 40 meV/atom
**V**: 34.0 A^3/atom

=====

Below is a relaxed CaSm12Y3 crystal, with properties calculated at the PBE level.

Structure (CIF):
```
data_CaSm12Y3
_cell_length_a 5.1338
_cell_length_b 5.1338
_cell_length_c 20.5237
_cell_angle_alpha 90.00
_cell_angle_beta 90.00
_cell_angle_gamma 90.00
_space_group_name_H-M_alt 'P 4/m m m'
_space_group_IT_number 123
_space_group_name_Hall '-P 4 2'
loop_
_atom_site_label
_atom_site_type_symbol
_atom_site_fract_x
_atom_site_fract_y
_atom_site_fract_z
Ca1 Ca 0.0000 0.0000 0.0000
Sm1 Sm 0.0000 0.5000 0.1294
Sm2 Sm 0.0000 0.5000 0.3762
Sm3 Sm 0.5000 0.5000 0.0000
Sm4 Sm 0.5000 0.5000 0.2507
Sm5 Sm 0.5000 0.5000 0.5000
Y1 Y 0.0000 0.0000 0.2514
Y2 Y 0.0000 0.0000 0.5000
```

Properties
**Calculated total energy**: -77.48 eV for the cell shown
**Total magnetic moment**: 0.0 μB per cell
**Density of states at the Fermi level**: 1.534 states/eV/atom
**ΔE_f**: 34 meV/atom
**V**: 33.8 A^3/atom

=====

Below is a relaxed CaSm3Y7 crystal, with properties calculated at the PBE level.

Structure (CIF):
```
data_CaSm3Y7
_cell_length_a 11.7677
_cell_length_b 10.1102
_cell_length_c 6.5044
_cell_angle_alpha 90.00
_cell_angle_beta 94.82
_cell_angle_gamma 90.00
_space_group_name_H-M_alt 'C 1 2/m 1'
_space_group_IT_number 12
_space_group_name_Hall '-C 2y'
loop_
_atom_site_label
_atom_site_type_symbol
_atom_site_fract_x
_atom_site_fract_y
_atom_site_fract_z
Ca1 Ca 0.0000 0.0000 0.0000
Sm1 Sm 0.0000 0.3283 0.5000
Sm2 Sm 0.0000 0.5000 0.0000
Y1 Y 0.0000 0.0000 0.5000
Y2 Y 0.2341 0.5000 0.7073
Y3 Y 0.2446 0.1700 0.7580
```

Properties
**Calculated total energy**: -117.46 eV for the cell shown
**Polymorph energy (0 for the lowest one)**: 16 meV per atom
**Total magnetic moment**: 0.0 μB per cell
**Density of states at the Fermi level**: 1.571 states/eV/atom
**ΔE_f**: 243 meV/atom
**V**: 35.1 A^3/atom

=====

Below is a relaxed CaSm6Y5 crystal, with properties calculated at the PBE level.

Structure (CIF):
```
data_CaSm6Y5
_cell_length_a 6.2854
_cell_length_b 10.8855
_cell_length_c 11.9248
_cell_angle_alpha 90.00
_cell_angle_beta 100.08
_cell_angle_gamma 90.00
_space_group_name_H-M_alt 'C 1 2/m 1'
_space_group_IT_number 12
_space_group_name_Hall '-C 2y'
loop_
_atom_site_label
_atom_site_type_symbol
_atom_site_fract_x
_atom_site_fract_y
_atom_site_fract_z
Ca1 Ca 0.0000 0.0000 0.0000
Sm1 Sm 0.2447 0.5000 0.2534
Sm2 Sm 0.2459 0.3301 0.7472
Y1 Y 0.0000 0.1663 0.5000
Y2 Y 0.0000 0.3334 0.0000
Y3 Y 0.0000 0.5000 0.5000
```

Properties
**Calculated total energy**: -124.41 eV for the cell shown
**Total magnetic moment**: 0.0 μB per cell
**Density of states at the Fermi level**: 1.246 states/eV/atom
**ΔE_f**: 36 meV/atom
**V**: 33.5 A^3/atom

=====

Below is a relaxed Ca2Sm4Y crystal, with properties calculated at the PBE level.

Structure (CIF):
```
data_Ca2Sm4Y
_cell_length_a 3.5769
_cell_length_b 5.8909
_cell_length_c 23.7090
_cell_angle_alpha 90.00
_cell_angle_beta 90.00
_cell_angle_gamma 90.00
_space_group_name_H-M_alt 'I m m m'
_space_group_IT_number 71
_space_group_name_Hall '-I 2 2'
loop_
_atom_site_label
_atom_site_type_symbol
_atom_site_fract_x
_atom_site_fract_y
_atom_site_fract_z
Ca1 Ca 0.0000 0.0000 0.2210
Sm1 Sm 0.0000 0.5000 0.1298
Sm2 Sm 0.0000 0.5000 0.4194
Y1 Y 0.0000 0.0000 0.5000
```

Properties
**Calculated total energy**: -56.82 eV for the cell shown
**Polymorph energy (0 for the lowest one)**: 0 meV per atom
**Total magnetic moment**: 0.0 μB per cell
**Density of states at the Fermi level**: 1.699 states/eV/atom
**ΔE_f**: 134 meV/atom
**V**: 35.7 A^3/atom

=====

Below is a relaxed CaSm12Y6 crystal, with properties calculated at the PBE level.

Structure (CIF):
```
data_CaSm12Y6
_cell_length_a 13.3508
_cell_length_b 13.3508
_cell_length_c 12.9734
_cell_angle_alpha 90.00
_cell_angle_beta 90.00
_cell_angle_gamma 120.00
_space_group_name_H-M_alt 'R -3 m'
_space_group_IT_number 166
_space_group_name_Hall '-R 3 2"'
loop_
_atom_site_label
_atom_site_type_symbol
_atom_site_fract_x
_atom_site_fract_y
_atom_site_fract_z
Ca1 Ca 0.0000 0.0000 0.0000
Sm1 Sm 0.0000 0.2591 0.5000
Sm2 Sm 0.0916 0.1833 0.2669
Y1 Y 0.0372 0.5186 0.6183
```

Properties
**Calculated total energy**: -281.47 eV for the cell shown
**Total magnetic moment**: 0.0 μB per cell
**Density of states at the Fermi level**: 1.657 states/eV/atom
**ΔE_f**: 189 meV/atom
**V**: 35.1 A^3/atom

=====

Below is a relaxed CaSm8Y5 crystal, with properties calculated at the PBE level.

Structure (CIF):
```
data_CaSm8Y5
_cell_length_a 9.7570
_cell_length_b 9.7570
_cell_length_c 10.3368
_cell_angle_alpha 90.00
_cell_angle_beta 90.00
_cell_angle_gamma 90.00
_space_group_name_H-M_alt 'I -4'
_space_group_IT_number 82
_space_group_name_Hall 'I -4'
loop_
_atom_site_label
_atom_site_type_symbol
_atom_site_fract_x
_atom_site_fract_y
_atom_site_fract_z
Ca1 Ca 0.0000 0.0000 0.0000
Sm1 Sm 0.0697 0.1729 0.6499
Sm2 Sm 0.0948 0.3292 0.9980
Y1 Y 0.0000 0.5000 0.7500
Y2 Y 0.1128 0.2960 0.3237
```

Properties
**Calculated total energy**: -137.26 eV for the cell shown
**Total magnetic moment**: 0.0 μB per cell
**Density of states at the Fermi level**: 1.566 states/eV/atom
**ΔE_f**: 246 meV/atom
**V**: 35.1 A^3/atom

=====

Below is a relaxed Ca2SmY crystal, with properties calculated at the PBE level.

Structure (CIF):
```
data_Ca2SmY
_cell_length_a 5.0977
_cell_length_b 5.0977
_cell_length_c 5.5839
_cell_angle_alpha 90.00
_cell_angle_beta 90.00
_cell_angle_gamma 90.00
_space_group_name_H-M_alt 'P 4/m m m'
_space_group_IT_number 123
_space_group_name_Hall '-P 4 2'
loop_
_atom_site_label
_atom_site_type_symbol
_atom_site_fract_x
_atom_site_fract_y
_atom_site_fract_z
Ca1 Ca 0.0000 0.5000 0.0000
Sm1 Sm 0.0000 0.0000 0.5000
Y1 Y 0.5000 0.5000 0.5000
```

Properties
**Calculated total energy**: -14.55 eV for the cell shown
**Polymorph energy (0 for the lowest one)**: 47 meV per atom
**Total magnetic moment**: 0.0 μB per cell
**Density of states at the Fermi level**: 1.920 states/eV/atom
**ΔE_f**: 158 meV/atom
**V**: 36.3 A^3/atom

=====

Below is a relaxed CaSm2Y crystal, with properties calculated at the PBE level.

Structure (CIF):
```
data_CaSm2Y
_cell_length_a 8.2297
_cell_length_b 8.2297
_cell_length_c 8.2297
_cell_angle_alpha 90.00
_cell_angle_beta 90.00
_cell_angle_gamma 90.00
_space_group_name_H-M_alt 'F m -3 m'
_space_group_IT_number 225
_space_group_name_Hall '-F 4 2 3'
loop_
_atom_site_label
_atom_site_type_symbol
_atom_site_fract_x
_atom_site_fract_y
_atom_site_fract_z
Ca1 Ca 0.0000 0.0000 0.0000
Sm1 Sm 0.2500 0.2500 0.2500
Y1 Y 0.0000 0.0000 0.5000
```

Properties
**Calculated total energy**: -69.46 eV for the cell shown
**Polymorph energy (0 for the lowest one)**: 90 meV per atom
**Total magnetic moment**: 0.0 μB per cell
**Density of states at the Fermi level**: 1.731 states/eV/atom
**ΔE_f**: 135 meV/atom
**V**: 34.8 A^3/atom

=====

Below is a relaxed CaSm2Y2 crystal, with properties calculated at the PBE level.

Structure (CIF):
```
data_CaSm2Y2
_cell_length_a 5.6057
_cell_length_b 17.5417
_cell_length_c 3.5613
_cell_angle_alpha 90.00
_cell_angle_beta 90.00
_cell_angle_gamma 90.00
_space_group_name_H-M_alt 'C m m m'
_space_group_IT_number 65
_space_group_name_Hall '-C 2 2'
loop_
_atom_site_label
_atom_site_type_symbol
_atom_site_fract_x
_atom_site_fract_y
_atom_site_fract_z
Ca1 Ca 0.0000 0.0000 0.0000
Sm1 Sm 0.0000 0.3803 0.5000
Y1 Y 0.0000 0.2011 0.0000
```

Properties
**Calculated total energy**: -48.22 eV for the cell shown
**Total magnetic moment**: 0.0 μB per cell
**Density of states at the Fermi level**: 1.508 states/eV/atom
**ΔE_f**: 52 meV/atom
**V**: 35.0 A^3/atom

=====

> What is the V in the eleventh record?

34.8 A^3/atom